A relaxed structure of Hf4NiPb, computed with PBE.

Values from the calculation:
- Energy of formation from the pure elements: -109 meV/atom
- Energy: -8.326 eV/atom

Cell lengths 7.9531, 12.3815, 5.3949 Å; angles 90.00, 109.38, 90.00 degrees
Last column: nearest neighbours and their distance in Å.
Space group C2/c (No. 15)
Symmetry-distinct sites (fractional):
Hf 0.1014 0.1843 0.0608 x8  2 Ni 2.76, 2 Hf 2.99-3.07, 1 Pb 3.00
Hf 0.2232 0.4092 0.3563 x8  2 Ni 2.68-2.76
Ni 0.0000 0.0028 0.7500 x4  8 Hf 2.68-2.76, 2 Ni 2.70
Pb 0.0000 0.3893 0.7500 x4  10 Hf 3.00-3.20